Here is a geometry-optimized TaCrTe2 structure from Alexandria via LeMat-Bulk. Energies are from PBE.

Cell: 4.454 5.511 5.511 Å, 38.88 90.00 90.00°
Atoms (fractional coordinates):
Ta  0.000  0.000  0.000
Cr  0.500  0.846  0.846
Te  0.000  0.291  0.291
Te  0.500  0.569  0.569

**Energy above the lowest structure with this stoichiometry**: 0.224 eV per atom
**E_form (uncorrected)**: 0.123 eV per atom
**Total magnetic moment**: 2.8 Bohr magnetons per cell
**Space group**: Amm2